Record 1
A geometry-optimized MgSiHg structure. Source: Alexandria via LeMat-Bulk, functional PBE.

Properties
DOS at the Fermi energy (states/eV/cell): 5.2
E_form (uncorrected) (meV per atom): 175
Spin magnetization (μB per cell): 0.00

Unit cell a=4.398 b=4.410 c=12.392 alpha=90.00 beta=90.00 gamma=90.00
Space group Fmm2 (No. 42)
Unique sites:
1 Mg 0.000 0.000 0.000 x4
2 Si 0.000 0.000 0.650 x4
3 Hg 0.000 0.000 0.328 x4

=====

Record 2
A geometry-optimized YBi2Pd2 structure. Source: Alexandria via LeMat-Bulk, functional PBE.

Properties
DFT formation energy (meV/atom): -503
DOS at the Fermi energy (states/eV/cell): 4.7
Spin magnetization (μB per cell): 0.00

Unit cell a=7.610 b=7.610 c=4.033 alpha=90.00 beta=90.00 gamma=90.00
Space group P4/mbm (No. 127)
Unique sites:
1 Y 0.000 0.000 0.000 x2
2 Bi 0.176 0.324 0.500 x4
3 Pd 0.127 0.627 0.000 x4

=====

Record 3
A geometry-optimized BaNiS structure. Source: Alexandria via LeMat-Bulk, functional PBE.

Properties
DOS at the Fermi energy (states/eV/cell): 0.1
E_form (uncorrected) (meV per atom): -805
Spin magnetization (μB per cell): 0.00

Unit cell a=5.125 b=8.902 c=8.294 alpha=90.00 beta=90.00 gamma=90.00
Space group Cmcm (No. 63)
Unique sites:
1 Ba 0.000 0.167 0.250 x4
2 Ni 0.000 0.500 0.250 x4
3 S 0.000 0.500 0.000 x4

=====

Record 4
A geometry-optimized SrNbNiAg structure. Source: Alexandria via LeMat-Bulk, functional PBE.

Properties
DFT formation energy (meV/atom): 325
DOS at the Fermi energy (states/eV/cell): 6.8
Spin magnetization (μB per cell): 0.00

Unit cell a=3.824 b=3.354 c=14.034 alpha=90.00 beta=90.00 gamma=90.00
Space group Amm2 (No. 38)
Unique sites:
1 Sr 0.000 0.000 0.000 x2
2 Nb 0.500 0.000 0.306 x2
3 Ni 0.000 0.000 0.785 x2
4 Ag 0.500 0.000 0.641 x2